Entry 1:
{"formula": "Tb4CeY", "functional": "PBE", "state": "optimized geometry", "m_tot_mub_per_cell": 1.8, "spacegroup": "C2/m", "relative_energy_mev_per_atom": 0, "crystal_system": "monoclinic", "formation_enthalpy_0k_ev_per_atom": 0.03, "lattice_angstrom": [[17.294, 0.000, 0.000], [0.000, 3.582, 0.000], [-0.736, 0.000, 6.166]], "species": ["Tb", "Tb", "Tb", "Tb", "Tb", "Tb", "Tb", "Tb", "Ce", "Ce", "Y", "Y"], "frac_coords": [[0.165, 0.000, 0.390], [0.167, 0.500, 0.886], [0.333, 0.000, 0.114], [0.335, 0.500, 0.610], [0.665, 0.500, 0.390], [0.667, 0.000, 0.886], [0.833, 0.500, 0.114], [0.835, 0.000, 0.610], [0.000, 0.500, 0.500], [0.500, 0.000, 0.500], [0.000, 0.000, 0.000], [0.500, 0.500, 0.000]]}

=====

Entry 2:
{"formula": "NaLiSc2F8", "functional": "PBE", "state": "optimized geometry", "m_tot_mub_per_cell": 0.1, "spacegroup": "P2/m", "formation_energy_uncorrected_ev_per_fu": -42.86, "crystal_system": "monoclinic", "lattice_angstrom": [[4.927, 0.000, 0.000], [0.000, 6.550, 0.000], [-0.267, 0.000, 4.935]], "species": ["Na", "Li", "Sc", "Sc", "F", "F", "F", "F", "F", "F", "F", "F"], "frac_coords": [[0.000, 0.000, 0.000], [0.000, 0.500, 0.000], [0.500, 0.254, 0.500], [0.500, 0.746, 0.500], [0.210, 0.269, 0.208], [0.210, 0.731, 0.208], [0.313, 0.500, 0.684], [0.321, 0.000, 0.676], [0.679, 0.000, 0.324], [0.687, 0.500, 0.316], [0.790, 0.269, 0.792], [0.790, 0.731, 0.792]]}

=====

Entry 3:
{"formula": "Sr2ReW", "functional": "PBE", "state": "optimized geometry", "m_tot_mub_per_cell": 0.0, "spacegroup": "P2/m", "relative_energy_mev_per_atom": 781, "crystal_system": "monoclinic", "formation_enthalpy_0k_ev_per_atom": 1.31, "lattice_angstrom": [[2.855, 0.000, 0.000], [0.000, 5.397, 0.000], [-0.030, 0.000, 5.687]], "species": ["Sr", "Sr", "Re", "W"], "frac_coords": [[0.001, 0.000, 0.252], [0.999, 0.000, 0.748], [0.500, 0.500, 0.500], [0.500, 0.500, 0.000]]}

=====

Entry 4:
{"formula": "Ga2CuReGe", "functional": "PBE", "state": "optimized geometry", "m_tot_mub_per_cell": 2.3, "spacegroup": "P4/mmm", "crystal_system": "tetragonal", "formation_enthalpy_0k_ev_per_atom": 0.99, "lattice_angstrom": [[4.403, 0.000, 0.000], [0.000, 4.403, 0.000], [0.000, 0.000, 4.951]], "species": ["Ga", "Ga", "Cu", "Re", "Ge"], "frac_coords": [[0.000, 0.500, 0.000], [0.500, 0.000, 0.000], [0.000, 0.000, 0.000], [0.000, 0.000, 0.500], [0.500, 0.500, 0.500]]}

=====

Entry 5:
{"formula": "Sc8CdNi2", "functional": "PBE", "state": "optimized geometry", "m_tot_mub_per_cell": 1.3, "spacegroup": "C2/m", "relative_energy_mev_per_atom": 44, "crystal_system": "monoclinic", "formation_enthalpy_0k_ev_per_atom": -0.17, "lattice_angstrom": [[4.050, -6.241, 0.000], [4.050, 6.241, 0.000], [-1.178, 0.000, 4.742]], "species": ["Sc", "Sc", "Sc", "Sc", "Sc", "Sc", "Sc", "Sc", "Cd", "Ni", "Ni"], "frac_coords": [[0.072, 0.328, 0.578], [0.249, 0.751, 0.000], [0.328, 0.072, 0.578], [0.388, 0.388, 0.196], [0.612, 0.612, 0.804], [0.672, 0.928, 0.422], [0.751, 0.249, 0.000], [0.928, 0.672, 0.422], [0.000, 0.000, 0.000], [0.311, 0.689, 0.500], [0.689, 0.311, 0.500]]}

=====

Entry 6:
{"formula": "PmSm2HoTm2", "functional": "PBE", "state": "optimized geometry", "m_tot_mub_per_cell": 0.0, "spacegroup": "Pnnm", "crystal_system": "orthorhombic", "formation_enthalpy_0k_ev_per_atom": 0.07, "lattice_angstrom": [[6.986, 0.000, 0.000], [0.000, 9.771, 0.000], [0.000, 0.000, 5.626]], "species": ["Pm", "Pm", "Sm", "Sm", "Sm", "Sm", "Ho", "Ho", "Tm", "Tm", "Tm", "Tm"], "frac_coords": [[0.000, 0.000, 0.000], [0.500, 0.500, 0.500], [0.248, 0.333, 0.000], [0.252, 0.833, 0.500], [0.748, 0.167, 0.500], [0.752, 0.667, 0.000], [0.000, 0.500, 0.500], [0.500, 0.000, 0.000], [0.250, 0.167, 0.500], [0.250, 0.667, 0.000], [0.750, 0.333, 0.000], [0.750, 0.833, 0.500]]}

=====

Entry 7:
{"formula": "RbCa2InNi", "functional": "PBE", "state": "optimized geometry", "m_tot_mub_per_cell": 0.3, "spacegroup": "P4/mmm", "crystal_system": "tetragonal", "formation_enthalpy_0k_ev_per_atom": -0.05, "lattice_angstrom": [[5.633, 0.000, 0.000], [0.000, 5.633, 0.000], [0.000, 0.000, 5.147]], "species": ["Rb", "Ca", "Ca", "In", "Ni"], "frac_coords": [[0.000, 0.000, 0.000], [0.000, 0.500, 0.500], [0.500, 0.000, 0.500], [0.500, 0.500, 0.000], [0.500, 0.500, 0.500]]}

=====

Entry 8:
{"formula": "Ti3HPd", "functional": "PBE", "state": "optimized geometry", "m_tot_mub_per_cell": 2.5, "spacegroup": "Pm-3m", "relative_energy_mev_per_atom": 1489, "crystal_system": "cubic", "lattice_angstrom": [[4.823, 0.000, 0.000], [0.000, 4.823, 0.000], [0.000, 0.000, 4.823]], "species": ["Ti", "Ti", "Ti", "H", "Pd"], "frac_coords": [[0.000, 0.000, 0.500], [0.000, 0.500, 0.000], [0.500, 0.000, 0.000], [0.500, 0.500, 0.500], [0.000, 0.000, 0.000]]}

=====

Entry 9:
{"formula": "K2MnCr2Se6", "functional": "PBE", "state": "optimized geometry", "m_tot_mub_per_cell": 9.0, "spacegroup": "C2/m", "formation_energy_uncorrected_ev_per_fu": -8.33, "crystal_system": "monoclinic", "lattice_angstrom": [[3.235, -5.598, 0.000], [3.235, 5.598, 0.000], [-2.176, 0.000, 7.696]], "species": ["K", "K", "Mn", "Cr", "Cr", "Se", "Se", "Se", "Se", "Se", "Se"], "frac_coords": [[0.167, 0.833, 0.000], [0.833, 0.167, 0.000], [0.000, 0.000, 0.500], [0.332, 0.668, 0.500], [0.668, 0.332, 0.500], [0.061, 0.389, 0.676], [0.272, 0.272, 0.324], [0.389, 0.061, 0.676], [0.611, 0.939, 0.324], [0.728, 0.728, 0.676], [0.939, 0.611, 0.324]]}

=====

Entry 10:
{"formula": "DyMg2Au8", "functional": "PBE", "state": "optimized geometry", "m_tot_mub_per_cell": 0.0, "spacegroup": "C2/m", "crystal_system": "monoclinic", "formation_enthalpy_0k_ev_per_atom": -0.51, "lattice_angstrom": [[7.549, -2.105, 0.000], [7.549, 2.105, 0.000], [-1.937, 0.000, 6.479]], "species": ["Dy", "Mg", "Mg", "Au", "Au", "Au", "Au", "Au", "Au", "Au", "Au"], "frac_coords": [[0.000, 0.000, 0.000], [0.278, 0.278, 0.344], [0.722, 0.722, 0.656], [0.105, 0.105, 0.460], [0.182, 0.182, 0.909], [0.356, 0.356, 0.799], [0.457, 0.457, 0.278], [0.543, 0.543, 0.722], [0.644, 0.644, 0.201], [0.818, 0.818, 0.091], [0.895, 0.895, 0.540]]}

=====

Entry 11:
{"formula": "BeReAs2", "functional": "PBE", "state": "optimized geometry", "m_tot_mub_per_cell": 0.0, "spacegroup": "P4mm", "crystal_system": "tetragonal", "formation_enthalpy_0k_ev_per_atom": 0.14, "lattice_angstrom": [[3.103, 0.000, 0.000], [0.000, 3.103, 0.000], [0.000, 0.000, 6.873]], "species": ["Be", "Re", "As", "As"], "frac_coords": [[0.000, 0.000, 0.000], [0.500, 0.500, 0.166], [0.000, 0.000, 0.366], [0.500, 0.500, 0.796]]}

=====

Entry 12:
{"formula": "BeCoRe2", "functional": "PBE", "state": "optimized geometry", "m_tot_mub_per_cell": 0.6, "spacegroup": "P2/m", "crystal_system": "monoclinic", "formation_enthalpy_0k_ev_per_atom": 0.10, "lattice_angstrom": [[2.621, 0.000, 0.000], [0.000, 3.752, 0.000], [-0.527, 0.000, 5.072]], "species": ["Be", "Co", "Re", "Re"], "frac_coords": [[0.000, 0.000, 0.000], [0.000, 0.000, 0.500], [0.465, 0.500, 0.244], [0.535, 0.500, 0.756]]}

=====

Entry 13:
{"formula": "YScTeCl2", "functional": "PBE", "state": "optimized geometry", "m_tot_mub_per_cell": 0.0, "spacegroup": "P4/mmm", "formation_energy_uncorrected_ev_per_fu": -5.79, "crystal_system": "tetragonal", "lattice_angstrom": [[4.729, 0.000, 0.000], [0.000, 4.729, 0.000], [0.000, 0.000, 7.220]], "species": ["Y", "Sc", "Te", "Cl", "Cl"], "frac_coords": [[0.000, 0.000, 0.000], [0.000, 0.000, 0.500], [0.500, 0.500, 0.000], [0.000, 0.500, 0.500], [0.500, 0.000, 0.500]]}

=====

Entry 14:
{"formula": "Tb10Ho4Sc", "functional": "PBE", "state": "optimized geometry", "m_tot_mub_per_cell": 0.0, "spacegroup": "I4/m", "crystal_system": "tetragonal", "formation_enthalpy_0k_ev_per_atom": 0.37, "lattice_angstrom": [[-4.843, 4.843, 5.171], [4.843, -4.843, 5.171], [4.843, 4.843, -5.171]], "species": ["Tb", "Tb", "Tb", "Tb", "Tb", "Tb", "Tb", "Tb", "Tb", "Tb", "Ho", "Ho", "Ho", "Ho", "Sc"], "frac_coords": [[0.049, 0.374, 0.101], [0.052, 0.951, 0.325], [0.250, 0.750, 0.500], [0.273, 0.948, 0.899], [0.374, 0.273, 0.325], [0.626, 0.727, 0.675], [0.727, 0.052, 0.101], [0.750, 0.250, 0.500], [0.948, 0.049, 0.675], [0.951, 0.626, 0.899], [0.174, 0.436, 0.610], [0.436, 0.826, 0.261], [0.564, 0.174, 0.739], [0.826, 0.564, 0.390], [0.500, 0.500, 0.000]]}

=====

Entry 15:
{"formula": "RbTe2H", "functional": "PBE", "state": "optimized geometry", "m_tot_mub_per_cell": 2.9, "spacegroup": "Fm-3m", "relative_energy_mev_per_atom": 927, "crystal_system": "cubic", "lattice_angstrom": [[7.951, 0.000, 0.000], [0.000, 7.951, 0.000], [0.000, 0.000, 7.951]], "species": ["Rb", "Rb", "Rb", "Rb", "Te", "Te", "Te", "Te", "Te", "Te", "Te", "Te", "H", "H", "H", "H"], "frac_coords": [[0.000, 0.000, 0.000], [0.000, 0.500, 0.500], [0.500, 0.000, 0.500], [0.500, 0.500, 0.000], [0.250, 0.250, 0.250], [0.250, 0.250, 0.750], [0.250, 0.750, 0.250], [0.250, 0.750, 0.750], [0.750, 0.250, 0.250], [0.750, 0.250, 0.750], [0.750, 0.750, 0.250], [0.750, 0.750, 0.750], [0.000, 0.000, 0.500], [0.000, 0.500, 0.000], [0.500, 0.000, 0.000], [0.500, 0.500, 0.500]]}

=====

Entry 16:
{"formula": "SrAl3Ge3", "functional": "PBE", "state": "optimized geometry", "m_tot_mub_per_cell": 0.0, "spacegroup": "R-3", "relative_energy_mev_per_atom": 0, "crystal_system": "trigonal", "formation_enthalpy_0k_ev_per_atom": -0.21, "lattice_angstrom": [[3.604, 2.081, 7.698], [-3.604, 2.081, 7.698], [0.000, -4.161, 7.698]], "species": ["Sr", "Sr", "Al", "Al", "Al", "Al", "Al", "Al", "Ge", "Ge", "Ge", "Ge", "Ge", "Ge"], "frac_coords": [[0.166, 0.166, 0.166], [0.834, 0.834, 0.834], [0.033, 0.371, 0.709], [0.291, 0.967, 0.629], [0.371, 0.709, 0.033], [0.629, 0.291, 0.967], [0.709, 0.033, 0.371], [0.967, 0.629, 0.291], [0.085, 0.735, 0.411], [0.265, 0.589, 0.915], [0.411, 0.085, 0.735], [0.589, 0.915, 0.265], [0.735, 0.411, 0.085], [0.915, 0.265, 0.589]]}

=====

Entry 17:
{"formula": "SrPt", "functional": "PBE", "state": "optimized geometry", "m_tot_mub_per_cell": 0.0, "spacegroup": "P2_12_12_1", "crystal_system": "orthorhombic", "formation_enthalpy_0k_ev_per_atom": -0.69, "lattice_angstrom": [[6.427, 0.000, 0.000], [0.000, 8.038, 0.000], [0.000, 0.000, 8.931]], "species": ["Sr", "Sr", "Sr", "Sr", "Sr", "Sr", "Sr", "Sr", "Pt", "Pt", "Pt", "Pt", "Pt", "Pt", "Pt", "Pt"], "frac_coords": [[0.113, 0.103, 0.026], [0.145, 0.645, 0.873], [0.355, 0.355, 0.373], [0.387, 0.897, 0.526], [0.613, 0.397, 0.974], [0.645, 0.855, 0.127], [0.855, 0.145, 0.627], [0.887, 0.603, 0.474], [0.014, 0.454, 0.158], [0.220, 0.728, 0.215], [0.280, 0.272, 0.715], [0.486, 0.546, 0.658], [0.514, 0.046, 0.842], [0.720, 0.772, 0.785], [0.780, 0.228, 0.285], [0.986, 0.954, 0.342]]}

=====

Entry 18:
{"formula": "TaHgP3", "functional": "PBE", "state": "optimized geometry", "m_tot_mub_per_cell": 0.0, "spacegroup": "Pm-3m", "relative_energy_mev_per_atom": 1406, "crystal_system": "cubic", "formation_enthalpy_0k_ev_per_atom": 1.78, "lattice_angstrom": [[4.793, 0.000, 0.000], [0.000, 4.793, 0.000], [0.000, 0.000, 4.793]], "species": ["Ta", "Hg", "P", "P", "P"], "frac_coords": [[0.000, 0.000, 0.000], [0.500, 0.500, 0.500], [0.000, 0.500, 0.500], [0.500, 0.000, 0.500], [0.500, 0.500, 0.000]]}

=====

Entry 19:
{"formula": "Cs2ZnI4", "functional": "PBE", "state": "optimized geometry", "m_tot_mub_per_cell": 0.0, "spacegroup": "I4/mmm", "relative_energy_mev_per_atom": 117, "formation_energy_uncorrected_ev_per_fu": -7.47, "crystal_system": "tetragonal", "lattice_angstrom": [[5.941, 0.000, 0.000], [0.000, 5.941, 0.000], [0.000, 0.000, 18.649]], "species": ["Cs", "Cs", "Cs", "Cs", "Zn", "Zn", "I", "I", "I", "I", "I", "I", "I", "I"], "frac_coords": [[0.000, 0.000, 0.138], [0.000, 0.000, 0.862], [0.500, 0.500, 0.362], [0.500, 0.500, 0.638], [0.000, 0.000, 0.500], [0.500, 0.500, 0.000], [0.000, 0.000, 0.350], [0.000, 0.000, 0.650], [0.000, 0.500, 0.000], [0.000, 0.500, 0.500], [0.500, 0.000, 0.000], [0.500, 0.000, 0.500], [0.500, 0.500, 0.150], [0.500, 0.500, 0.850]]}

=====

Entry 20:
{"formula": "Mn2BeZnH", "functional": "PBE", "state": "optimized geometry", "m_tot_mub_per_cell": 5.0, "spacegroup": "P4/mmm", "final_energy_ev_per_atom": -5.31, "crystal_system": "tetragonal", "lattice_angstrom": [[3.729, 0.000, 0.000], [0.000, 3.729, 0.000], [0.000, 0.000, 3.500]], "species": ["Mn", "Mn", "Be", "Zn", "H"], "frac_coords": [[0.000, 0.500, 0.000], [0.500, 0.000, 0.000], [0.000, 0.000, 0.500], [0.500, 0.500, 0.500], [0.000, 0.000, 0.000]]}

=====

Entry 21:
{"formula": "LiIn2Ni", "functional": "PBE", "state": "optimized geometry", "m_tot_mub_per_cell": 0.0, "spacegroup": "Cm", "crystal_system": "monoclinic", "formation_enthalpy_0k_ev_per_atom": -0.09, "lattice_angstrom": [[10.175, 0.000, 0.000], [0.000, 3.337, 0.000], [-1.649, 0.000, 4.123]], "species": ["Li", "Li", "In", "In", "In", "In", "Ni", "Ni"], "frac_coords": [[0.000, 0.000, 0.000], [0.500, 0.500, 0.000], [0.049, 0.500, 0.556], [0.274, 0.500, 0.248], [0.549, 0.000, 0.556], [0.774, 0.000, 0.248], [0.276, 0.000, 0.746], [0.776, 0.500, 0.746]]}

=====

Entry 22:
{"formula": "Ag4PbAu", "functional": "PBE", "state": "optimized geometry", "m_tot_mub_per_cell": 0.0, "spacegroup": "F-43m", "crystal_system": "cubic", "formation_enthalpy_0k_ev_per_atom": 0.11, "lattice_angstrom": [[0.000, 3.944, 3.944], [3.944, 0.000, 3.944], [3.944, 3.944, 0.000]], "species": ["Ag", "Ag", "Ag", "Ag", "Pb", "Au"], "frac_coords": [[0.125, 0.125, 0.125], [0.125, 0.125, 0.626], [0.125, 0.626, 0.125], [0.626, 0.125, 0.125], [0.500, 0.500, 0.500], [0.750, 0.750, 0.750]]}

=====

Entry 23:
{"formula": "AlCdRu2", "functional": "PBE", "state": "optimized geometry", "m_tot_mub_per_cell": 0.0, "spacegroup": "R-3m", "relative_energy_mev_per_atom": 70, "crystal_system": "trigonal", "formation_enthalpy_0k_ev_per_atom": -0.01, "lattice_angstrom": [[2.860, 0.000, 0.000], [-1.430, 2.476, 0.000], [0.000, 0.000, 26.170]], "species": ["Al", "Al", "Al", "Cd", "Cd", "Cd", "Ru", "Ru", "Ru", "Ru", "Ru", "Ru"], "frac_coords": [[0.000, 0.000, 0.000], [0.333, 0.667, 0.667], [0.667, 0.333, 0.333], [0.000, 0.000, 0.500], [0.333, 0.667, 0.167], [0.667, 0.333, 0.833], [0.000, 0.000, 0.258], [0.000, 0.000, 0.742], [0.333, 0.667, 0.409], [0.333, 0.667, 0.924], [0.667, 0.333, 0.076], [0.667, 0.333, 0.591]]}

=====

Entry 24:
{"formula": "Tb3ErC8", "functional": "PBE", "state": "optimized geometry", "m_tot_mub_per_cell": 0.0, "spacegroup": "Fmm2", "crystal_system": "orthorhombic", "formation_enthalpy_0k_ev_per_atom": 0.13, "lattice_angstrom": [[0.000, 4.809, 3.972], [4.807, 0.000, 3.972], [4.807, 4.809, 0.000]], "species": ["Tb", "Tb", "Tb", "Er", "C", "C", "C", "C", "C", "C", "C", "C"], "frac_coords": [[0.000, 0.000, 0.000], [0.250, 0.250, 0.250], [0.750, 0.750, 0.750], [0.500, 0.500, 0.500], [0.096, 0.415, 0.585], [0.128, 0.628, 0.372], [0.373, 0.870, 0.627], [0.415, 0.096, 0.904], [0.585, 0.905, 0.415], [0.628, 0.128, 0.872], [0.870, 0.373, 0.130], [0.905, 0.585, 0.095]]}

=====

Entry 25:
{"formula": "Hf3AgPt", "functional": "PBE", "state": "optimized geometry", "m_tot_mub_per_cell": 0.0, "spacegroup": "Pm-3m", "relative_energy_mev_per_atom": 0, "crystal_system": "cubic", "formation_enthalpy_0k_ev_per_atom": 0.36, "lattice_angstrom": [[5.047, 0.000, 0.000], [0.000, 5.047, 0.000], [0.000, 0.000, 5.047]], "species": ["Hf", "Hf", "Hf", "Ag", "Pt"], "frac_coords": [[0.000, 0.000, 0.500], [0.000, 0.500, 0.000], [0.500, 0.000, 0.000], [0.500, 0.500, 0.500], [0.000, 0.000, 0.000]]}